VASP calculation (PBE-GGA) on a geometry-optimized Sm2Th3ScSe6 structure.

It has space group C2/m (No. 12), with a = 18.413 Å, b = 4.068 Å, c = 8.457 Å, α = 90.00°, β = 107.71° and γ = 90.00°. The asymmetric unit holds Sm at (0.166, 0.000, 0.331), Th at (0.000, 0.500, 0.500), Th at (0.169, 0.000, 0.834), Sc at (0.000, 0.500, 0.000), Se at (0.001, 0.000, 0.771), Se at (0.157, 0.500, 0.082) and Se at (0.169, 0.500, 0.578).

Its total energy is -6.52 eV/atom. As for the crystal system: monoclinic. For the uncorrected formation energy, the calculation gives -1.6125 eV per atom.


VASP calculation (PBE-GGA) on a geometry-optimized SmTh2ScSe4 structure.

It has space group P2/m (No. 10), with a = 6.948 Å, b = 4.050 Å, c = 7.416 Å, α = 90.00°, β = 108.48° and γ = 90.00°. The asymmetric unit holds Sm at (0.000, 0.000, 0.000), Th at (0.000, 0.500, 0.500), Th at (0.500, 0.000, 0.500), Sc at (0.500, 0.500, 0.000), Se at (0.257, 0.500, 0.234) and Se at (0.269, 0.000, 0.773).

Its total energy is -6.57 eV/atom. As for the crystal system: monoclinic. For the uncorrected formation energy, the calculation gives -1.5906 eV per atom.


VASP calculation (PBE-GGA) on a geometry-optimized Sm2ThScSe4 structure.

It has space group P2/m (No. 10), with a = 7.100 Å, b = 4.085 Å, c = 7.211 Å, α = 90.00°, β = 109.07° and γ = 90.00°. The asymmetric unit holds Sm at (0.000, 0.000, 0.000), Sm at (0.000, 0.500, 0.500), Th at (0.500, 0.000, 0.500), Sc at (0.500, 0.500, 0.000), Se at (0.255, 0.500, 0.238) and Se at (0.265, 0.000, 0.768).

Its total energy is -6.30 eV/atom. As for the crystal system: monoclinic. For the uncorrected formation energy, the calculation gives -1.6575 eV per atom.


VASP calculation (PBE-GGA) on a geometry-optimized Sm4Th3ScSe8 structure.

It has space group R-3m (No. 166, hexagonal axes), with a = 8.2783 Å, b = 8.2783 Å, c = 20.5137 Å, α = 90.00°, β = 90.00° and γ = 120.00°. The asymmetric unit holds Sm at (0.0000, 0.0000, 0.0000), Sm at (0.0000, 0.5000, 0.0000), Th at (0.0000, 0.5000, 0.5000), Sc at (0.0000, 0.0000, 0.5000), Se at (0.0000, 0.0000, 0.2522) and Se at (0.0130, 0.5065, 0.2485).

Its total energy is -6.37 eV/atom. As for the crystal system: trigonal. For the uncorrected formation energy, the calculation gives -1.6615 eV per atom.


VASP calculation (PBE-GGA) on a geometry-optimized SmScTl2Se4 structure.

It has space group P2/m (No. 10), with a = 7.152 Å, b = 4.131 Å, c = 8.101 Å, α = 90.00°, β = 107.05° and γ = 90.00°. The asymmetric unit holds Sm at (0.000, 0.000, 0.000), Sc at (0.500, 0.500, 0.000), Tl at (0.000, 0.500, 0.500), Tl at (0.500, 0.000, 0.500), Se at (0.251, 0.500, 0.205) and Se at (0.283, 0.000, 0.802).

Its total energy is -5.02 eV/atom. As for the crystal system: monoclinic. For the uncorrected formation energy, the calculation gives -1.3052 eV per atom.


VASP calculation (PBE-GGA) on a geometry-optimized Sm3ScTl3Se8 structure.

It has space group R-3m (No. 166, hexagonal axes), with a = 8.3874 Å, b = 8.3874 Å, c = 22.8932 Å, α = 90.00°, β = 90.00° and γ = 120.00°. The asymmetric unit holds Sm at (0.0000, 0.5000, 0.0000), Sc at (0.0000, 0.0000, 0.0000), Tl at (0.0000, 0.5000, 0.5000), Se at (0.0000, 0.0000, 0.2620) and Se at (0.0180, 0.5090, 0.7344).

Its total energy is -5.05 eV/atom. As for the crystal system: trigonal. For the uncorrected formation energy, the calculation gives -1.3519 eV per atom.


VASP calculation (PBE-GGA) on a geometry-optimized Sm2ScTl3Se6 structure.

It has space group C2/m (No. 12), with a = 7.240 Å, b = 12.525 Å, c = 8.117 Å, α = 90.00°, β = 107.28° and γ = 90.00°. The asymmetric unit holds Sm at (0.000, 0.166, 0.000), Sc at (0.000, 0.500, 0.000), Tl at (0.000, 0.000, 0.500), Tl at (0.000, 0.330, 0.500), Se at (0.225, 0.342, 0.202) and Se at (0.247, 0.500, 0.793).

Its total energy is -4.98 eV/atom. As for the crystal system: monoclinic. For the uncorrected formation energy, the calculation gives -1.3328 eV per atom.


VASP calculation (PBE-GGA) on a geometry-optimized Sm3ScTl4Se8 structure.

It has space group R-3m (No. 166, hexagonal axes), with a = 8.4063 Å, b = 8.4063 Å, c = 23.2658 Å, α = 90.00°, β = 90.00° and γ = 120.00°. The asymmetric unit holds Sm at (0.0000, 0.5000, 0.0000), Sc at (0.0000, 0.0000, 0.0000), Tl at (0.0000, 0.0000, 0.5000), Tl at (0.0000, 0.5000, 0.5000), Se at (0.0000, 0.0000, 0.2631) and Se at (0.0154, 0.5077, 0.7343).

Its total energy is -4.96 eV/atom. As for the crystal system: trigonal. For the uncorrected formation energy, the calculation gives -1.3413 eV per atom.


VASP calculation (PBE-GGA) on a geometry-optimized SmTm3Sc2Se6 structure.

It has space group C2/m (No. 12), with a = 17.400 Å, b = 3.990 Å, c = 8.040 Å, α = 90.00°, β = 103.02° and γ = 90.00°. The asymmetric unit holds Sm at (0.000, 0.000, 0.000), Tm at (0.000, 0.000, 0.500), Tm at (0.162, 0.500, 0.832), Sc at (0.165, 0.500, 0.329), Se at (0.004, 0.500, 0.262), Se at (0.170, 0.000, 0.579) and Se at (0.173, 0.000, 0.092).

Its total energy is -5.96 eV/atom. As for the crystal system: monoclinic. For the uncorrected formation energy, the calculation gives -1.6540 eV per atom.


VASP calculation (PBE-GGA) on a geometry-optimized Sm4TmSc3Se8 structure.

It has space group R-3m (No. 166, hexagonal axes), with a = 8.0095 Å, b = 8.0095 Å, c = 20.2150 Å, α = 90.00°, β = 90.00° and γ = 120.00°. The asymmetric unit holds Sm at (0.0000, 0.0000, 0.0000), Sm at (0.0000, 0.5000, 0.0000), Tm at (0.0000, 0.0000, 0.5000), Sc at (0.0000, 0.5000, 0.5000), Se at (0.0000, 0.0000, 0.2417) and Se at (0.0048, 0.5024, 0.7572).

Its total energy is -6.09 eV/atom. As for the crystal system: trigonal. For the uncorrected formation energy, the calculation gives -1.7025 eV per atom.


VASP calculation (PBE-GGA) on a geometry-optimized Sm2TmScSe4 structure.

It has space group P2/m (No. 10), with a = 6.961 Å, b = 4.000 Å, c = 7.192 Å, α = 90.00°, β = 108.71° and γ = 90.00°. The asymmetric unit holds Sm at (0.000, 0.000, 0.000), Sm at (0.500, 0.500, 0.000), Tm at (0.000, 0.500, 0.500), Sc at (0.500, 0.000, 0.500), Se at (0.248, 0.000, 0.732) and Se at (0.262, 0.500, 0.271).

Its total energy is -5.99 eV/atom. As for the crystal system: monoclinic. For the uncorrected formation energy, the calculation gives -1.7175 eV per atom.


VASP calculation (PBE-GGA) on a geometry-optimized Sm3Y2ScSe6 structure.

It has space group C2/m (No. 12), with a = 17.891 Å, b = 4.075 Å, c = 8.252 Å, α = 90.00°, β = 104.01° and γ = 90.00°. The asymmetric unit holds Sm at (0.000, 0.000, 0.000), Sm at (0.170, 0.500, 0.336), Y at (0.166, 0.500, 0.832), Sc at (0.000, 0.000, 0.500), Se at (0.000, 0.500, 0.266), Se at (0.159, 0.000, 0.585) and Se at (0.168, 0.000, 0.079).

Its total energy is -6.28 eV/atom. As for the crystal system: monoclinic. For the uncorrected formation energy, the calculation gives -1.7555 eV per atom.


VASP calculation (PBE-GGA) on a geometry-optimized Sm3YSc2Se6 structure.

It has space group C2/m (No. 12), with a = 6.977 Å, b = 12.139 Å, c = 7.109 Å, α = 90.00°, β = 109.20° and γ = 90.00°. The asymmetric unit holds Sm at (0.000, 0.000, 0.000), Sm at (0.000, 0.339, 0.000), Y at (0.000, 0.500, 0.500), Sc at (0.000, 0.166, 0.500), Se at (0.232, 0.000, 0.728) and Se at (0.249, 0.328, 0.733).

Its total energy is -6.24 eV/atom. As for the crystal system: monoclinic. For the uncorrected formation energy, the calculation gives -1.7248 eV per atom.


VASP calculation (PBE-GGA) on a geometry-optimized Sc5SnSe4 structure.

It has space group I4/m (No. 87), with a = 8.801 Å, b = 8.801 Å, c = 5.569 Å, α = 90.00°, β = 90.00° and γ = 90.00°. The asymmetric unit holds Sc at (0.000, 0.000, 0.000), Sc at (0.100, 0.693, 0.500), Sn at (0.000, 0.000, 0.500) and Se at (0.103, 0.700, 0.000).

Its total energy is -6.35 eV/atom. As for the crystal system: tetragonal. For the uncorrected formation energy, the calculation gives -1.3918 eV per atom.


VASP calculation (PBE-GGA) on a geometry-optimized ScSnSe4 structure.

It has space group P2_1/c (No. 14), with a = 6.633 Å, b = 6.828 Å, c = 7.705 Å, α = 90.00°, β = 111.02° and γ = 90.00°. The asymmetric unit holds Sc at (0.000, 0.000, 0.000), Sn at (0.500, 0.000, 0.500), Se at (0.133, 0.208, 0.326) and Se at (0.311, 0.746, 0.195).

Its total energy is -4.71 eV/atom. As for the crystal system: monoclinic. For the uncorrected formation energy, the calculation gives -0.6619 eV per atom.


VASP calculation (PBE-GGA) on a geometry-optimized Sc6SnSe3 structure.

It has space group P2_1/m (No. 11), with a = 11.176 Å, b = 3.888 Å, c = 11.548 Å, α = 90.00°, β = 116.15° and γ = 90.00°. The asymmetric unit holds Sc at (0.052, 0.250, 0.414), Sc at (0.138, 0.250, 0.994), Sc at (0.214, 0.750, 0.248), Sc at (0.292, 0.750, 0.726), Sc at (0.407, 0.250, 0.539), Sc at (0.426, 0.750, 0.082), Sn at (0.420, 0.250, 0.269), Se at (0.023, 0.250, 0.163), Se at (0.227, 0.750, 0.478) and Se at (0.325, 0.250, 0.900).

Its total energy is -6.32 eV/atom. As for the crystal system: monoclinic. For the uncorrected formation energy, the calculation gives -1.0780 eV per atom.


VASP calculation (PBE-GGA) on a geometry-optimized Sc3Sn5Se12 structure.

It has space group Ia-3d (No. 230), with a = 16.431 Å, b = 16.431 Å, c = 16.431 Å, α = 90.00°, β = 90.00° and γ = 90.00°. The asymmetric unit holds Sc at (0.000, 0.250, 0.125), Sn at (0.000, 0.000, 0.000), Sn at (0.000, 0.250, 0.375) and Se at (0.015, 0.071, 0.657).

Its total energy is -4.71 eV/atom. As for the crystal system: cubic. For the uncorrected formation energy, the calculation gives -0.6650 eV per atom.